{"formula": "CdBr2Cl", "functional": "PBE", "state": "optimized geometry", "final_energy_ev_per_atom": -2.025, "crystal_system": "orthorhombic", "n_ef_per_ev_fu": 0.5, "formation_energy_uncorrected_kj_per_mol_atoms": -48, "volume_a3_per_atom": 37.9, "e_above_lowest_polymorph_mev_per_atom": 63, "lattice": [[7.686, 0.104, 0.002], [4.506, 6.227, -0.002], [-5.500, -4.313, 3.198]], "species": ["Cl", "Br", "Br", "Cd"], "frac_coords": [[0.345, 0.845, 0.500], [0.083, 0.083, 0.000], [0.607, 0.107, 0.500], [0.465, 0.465, 0.000]]}